(1)
{
  "formula": "YHgOs",
  "functional": "PBE",
  "state": "relaxed",
  "formation_energy_ev_per_atom": 0.214,
  "space_group": "P-6m2, No. 187",
  "lattice_angstrom": [[-0.332, -0.015, 4.645], [3.820, -1.678, -2.067], [1.446, 3.152, 0.114]],
  "species": ["Os", "Y", "Hg"],
  "fractional_positions": [[0.667, 0.333, 0.167], [0.333, 0.667, 0.667], [0.000, 0.000, 0.166]]
}

(2)
{
  "formula": "Li2ZnGe",
  "functional": "PBE",
  "state": "relaxed",
  "formation_energy_ev_per_atom": -0.313,
  "space_group": "F-43m, No. 216",
  "lattice_angstrom": [[4.356, 0.000, 0.000], [2.178, 3.773, 0.000], [2.178, 1.258, 3.557]],
  "species": ["Zn", "Li", "Li", "Ge"],
  "fractional_positions": [[0.250, 0.250, 0.250], [0.750, 0.750, 0.750], [0.000, 0.000, 0.000], [0.500, 0.500, 0.500]]
}

(3)
{
  "formula": "SrLiPd2",
  "functional": "PBE",
  "state": "relaxed",
  "formation_energy_ev_per_atom": -0.474,
  "space_group": "P6_3/mmc, No. 194",
  "lattice_angstrom": [[4.444, 0.000, 0.000], [-2.222, 3.848, 0.000], [0.000, 0.000, 10.194]],
  "species": ["Sr", "Sr", "Pd", "Pd", "Pd", "Pd", "Li", "Li"],
  "fractional_positions": [[0.667, 0.333, 0.750], [0.333, 0.667, 0.250], [0.333, 0.667, 0.944], [0.333, 0.667, 0.556], [0.667, 0.333, 0.444], [0.667, 0.333, 0.056], [0.000, 0.000, 0.000], [0.000, 0.000, 0.500]]
}

(4)
{
  "formula": "Ba2BiPb6",
  "functional": "PBE",
  "state": "relaxed",
  "formation_energy_ev_per_atom": -0.229,
  "space_group": "Amm2, No. 38",
  "lattice_angstrom": [[-3.350, 3.243, 0.494], [-0.260, -1.039, 5.052], [11.561, 8.205, 2.282]],
  "species": ["Pb", "Pb", "Pb", "Pb", "Pb", "Pb", "Bi", "Ba", "Ba"],
  "fractional_positions": [[0.705, 0.000, 0.410], [0.202, 0.500, 0.403], [0.086, 0.500, 0.173], [0.586, 0.000, 0.173], [0.892, 0.500, 0.784], [0.508, 0.500, 0.016], [0.784, 0.500, 0.567], [0.979, 0.000, 0.958], [0.327, 0.000, 0.654]]
}

(5)
{
  "formula": "PrNd3Er2Te6",
  "functional": "PBE",
  "state": "relaxed",
  "space_group": "C2/m, No. 12",
  "raw_formation_energy_ev_per_atom": -1.36,
  "lattice_angstrom": [[-2.696, -3.218, -1.317], [6.086, -2.619, -6.061], [3.654, -3.552, 8.550]],
  "species": ["Te", "Te", "Te", "Te", "Te", "Te", "Nd", "Nd", "Nd", "Er", "Er", "Pr"],
  "fractional_positions": [[0.671, 0.576, 0.342], [0.329, 0.904, 0.658], [0.329, 0.424, 0.658], [0.671, 0.096, 0.342], [0.006, 0.255, 0.013], [0.994, 0.745, 0.987], [0.500, 0.500, 0.000], [0.159, 0.832, 0.319], [0.841, 0.168, 0.681], [0.835, 0.670, 0.671], [0.165, 0.330, 0.329], [0.500, 0.000, 0.000]]
}

(6)
{
  "formula": "LuPuGe4",
  "functional": "PBE",
  "state": "relaxed",
  "formation_energy_ev_per_atom": -0.277,
  "space_group": "F-43m, No. 216",
  "lattice_angstrom": [[-2.354, 3.139, -3.933], [-2.908, -2.386, -4.088], [-5.524, 0.559, -0.171]],
  "species": ["Ge", "Ge", "Ge", "Ge", "Lu", "Pu"],
  "fractional_positions": [[0.625, 0.625, 0.625], [0.625, 0.125, 0.625], [0.125, 0.625, 0.625], [0.625, 0.625, 0.125], [0.250, 0.250, 0.250], [0.000, 0.000, 0.000]]
}

(7)
{
  "formula": "TaW2Cl",
  "functional": "PBE",
  "state": "relaxed",
  "space_group": "Pmm2, No. 25",
  "raw_formation_energy_ev_per_atom": 0.70,
  "lattice_angstrom": [[-0.957, -1.532, -2.112], [4.134, -0.595, -1.441], [0.437, -4.647, 3.172]],
  "species": ["Ta", "Cl", "W", "W"],
  "fractional_positions": [[0.500, 0.500, 0.772], [0.000, 0.000, 0.460], [0.500, 0.500, 0.240], [0.000, 0.000, 0.029]]
}

(8)
{
  "formula": "BeSiP2",
  "functional": "PBE",
  "state": "relaxed",
  "space_group": "P4/mmm, No. 123",
  "raw_formation_energy_ev_per_atom": 0.47,
  "lattice_angstrom": [[3.105, 0.000, 0.000], [0.000, 3.105, 0.000], [0.000, 0.000, 5.420]],
  "species": ["Be", "Si", "P", "P"],
  "fractional_positions": [[0.500, 0.500, 0.750], [0.500, 0.500, 0.250], [0.000, 0.000, 0.959], [0.000, 0.000, 0.541]]
}

(9)
{
  "formula": "Li6Mg2Pd",
  "functional": "PBE",
  "state": "relaxed",
  "formation_energy_ev_per_atom": -0.152,
  "space_group": "C2/m, No. 12",
  "lattice_angstrom": [[-2.472, 1.696, -0.636], [-1.427, -3.644, -7.277], [-3.882, -1.847, 7.056]],
  "species": ["Mg", "Mg", "Li", "Li", "Li", "Li", "Li", "Li", "Pd"],
  "fractional_positions": [[0.500, 0.152, 0.848], [0.500, 0.848, 0.152], [0.839, 0.169, 0.507], [0.359, 0.300, 0.300], [0.641, 0.700, 0.700], [0.161, 0.831, 0.493], [0.161, 0.493, 0.831], [0.839, 0.507, 0.169], [0.000, 0.000, 0.000]]
}

Number 1: total magnetic moment 0.000 μB per formula unit. Number 2: total magnetic moment 0.000 μB per formula unit. Number 3: total magnetic moment 0.000 μB per formula unit. Number 4: total magnetic moment 0.000 μB per formula unit. Number 5: total magnetic moment 0.001 μB per formula unit. Number 6: total magnetic moment 6.801 μB per formula unit. Number 7: total magnetic moment 0.000 μB per formula unit. Number 8: total magnetic moment 0.000 μB per formula unit. Number 9: total magnetic moment 0.000 μB per formula unit.